Compound: Rb2AsNF6
Source: Alexandria
Functional: GGA-PBE
Structure: optimized geometry

abc: 6.387 6.387 6.406
angles: 60.10 60.10 90.00
Sites, in units of the cell vectors:
As1 0.000 0.000 0.000
N1 0.500 0.500 0.000
Rb1 0.750 0.250 0.500
Rb2 0.250 0.750 0.500
F1 0.211 0.211 0.578
F2 0.789 0.789 0.422
F3 0.212 0.212 0.000
F4 0.788 0.788 0.000
F5 0.788 0.212 0.000
F6 0.212 0.788 0.000

total moment = 2.0 μB/f.u.
formation energy (no corrections) = -1.675 eV per atom

***

Compound: RbAsN2F
Source: Alexandria
Functional: GGA-PBE
Structure: optimized geometry

abc: 3.788 3.788 5.214
angles: 90.00 90.00 90.00
Sites, in units of the cell vectors:
As1 0.000 0.000 0.000
N1 0.000 0.500 0.000
N2 0.500 0.000 0.000
Rb1 0.500 0.500 0.500
F1 0.000 0.000 0.500

excess energy over the best structure of this formula in the dataset = 0 meV per atom
total moment = 0.9 μB/f.u.
formation energy (no corrections) = 0.072 eV per atom

***

Compound: RbAsN2F
Source: Alexandria
Functional: GGA-PBE
Structure: optimized geometry

abc: 5.675 5.675 4.940
angles: 90.00 90.00 90.00
Sites, in units of the cell vectors:
As1 0.500 0.500 0.500
N1 0.000 0.500 0.000
N2 0.500 0.000 0.000
Rb1 0.000 0.000 0.000
F1 0.000 0.000 0.500

excess energy over the best structure of this formula in the dataset = 1632 meV per atom
total moment = 3.0 μB/f.u.
formation energy (no corrections) = 1.703 eV per atom

***

Compound: AsRhN2F
Source: Alexandria
Functional: GGA-PBE
Structure: optimized geometry

abc: 3.941 3.941 4.024
angles: 90.00 90.00 90.00
Sites, in units of the cell vectors:
As1 0.500 0.500 0.500
N1 0.000 0.500 0.000
N2 0.500 0.000 0.000
Rh1 0.000 0.000 0.000
F1 0.000 0.000 0.500

excess energy over the best structure of this formula in the dataset = 0 meV per atom
total moment = 0.0 μB/f.u.
formation energy (no corrections) = 0.856 eV per atom

***

Compound: AsRhN2F
Source: Alexandria
Functional: GGA-PBE
Structure: optimized geometry

abc: 3.864 3.864 3.774
angles: 90.00 90.00 90.00
Sites, in units of the cell vectors:
As1 0.000 0.000 0.000
N1 0.000 0.500 0.000
N2 0.500 0.000 0.000
Rh1 0.500 0.500 0.500
F1 0.000 0.000 0.500

excess energy over the best structure of this formula in the dataset = 115 meV per atom
total moment = 0.0 μB/f.u.
formation energy (no corrections) = 0.971 eV per atom

***

Compound: AsS3N2F6
Source: Alexandria
Functional: GGA-PBE
Structure: optimized geometry

abc: 8.457 8.667 11.443
angles: 84.18 90.00 90.00
Sites, in units of the cell vectors:
As1 0.102 0.732 0.131
As2 0.602 0.268 0.369
As3 0.898 0.268 0.869
As4 0.398 0.732 0.631
S1 0.650 0.966 0.113
S2 0.434 0.345 0.855
S3 0.350 0.034 0.887
S4 0.632 0.855 0.946
S5 0.132 0.145 0.554
S6 0.368 0.145 0.054
S7 0.934 0.655 0.645
S8 0.850 0.966 0.613
S9 0.868 0.855 0.446
S10 0.566 0.655 0.145
S11 0.150 0.034 0.387
S12 0.066 0.345 0.355
N1 0.913 0.687 0.507
N2 0.587 0.687 0.007
N3 0.391 0.187 0.804
N4 0.087 0.313 0.493
N5 0.891 0.813 0.696
N6 0.109 0.187 0.304
N7 0.413 0.313 0.993
N8 0.609 0.813 0.196
F1 0.723 0.156 0.917
F2 0.223 0.844 0.583
F3 0.986 0.094 0.829
F4 0.814 0.297 0.726
F5 0.514 0.094 0.329
F6 0.277 0.844 0.083
F7 0.568 0.625 0.681
F8 0.932 0.625 0.181
F9 0.523 0.233 0.511
F10 0.477 0.767 0.489
F11 0.486 0.906 0.671
F12 0.977 0.233 0.011
F13 0.302 0.563 0.595
F14 0.198 0.563 0.095
F15 0.186 0.703 0.274
F16 0.686 0.297 0.226
F17 0.777 0.156 0.417
F18 0.432 0.375 0.319
F19 0.802 0.437 0.905
F20 0.023 0.767 0.989
F21 0.068 0.375 0.819
F22 0.314 0.703 0.774
F23 0.014 0.906 0.171
F24 0.698 0.437 0.405

excess energy over the best structure of this formula in the dataset = 0 meV per atom
total moment = 0.0 μB/f.u.
formation energy (no corrections) = -1.120 eV per atom

***

What is the formation energy (no corrections) in the second record?
0.072 eV per atom